Entry 1:
8
Lattice="4.5372 0.0000 0.0000 0.0000 4.5372 0.0000 0.0000 0.0000 13.9814" Properties=species:S:1:pos:R:3 comment="KCdSbPb (PBE-GGA, optimized geometry)" sg=P4/nmm energy_ev_per_atom=-2.633 pbc="T T T"
K 1.1343 1.1343 3.4966
K 3.4029 3.4029 10.4848
Cd 1.1343 3.4029 0.0000
Cd 3.4029 1.1343 0.0000
Sb 1.1343 1.1343 12.0948
Sb 3.4029 3.4029 1.8866
Pb 1.1343 3.4029 6.9907
Pb 3.4029 1.1343 6.9907


Entry 2:
6
Lattice="0.0000 3.3006 3.3006 3.3006 0.0000 3.3006 3.3006 3.3006 0.0000" Properties=species:S:1:pos:R:3 comment="Mn4OsRh (PBE-GGA, optimized geometry)" sg=F-43m formation_energy_mev_per_atom=35.8 pbc="T T T"
Mn 2.4831 2.4831 2.4831
Mn 4.1180 4.1180 2.4831
Mn 4.1180 2.4831 4.1180
Mn 2.4831 4.1180 4.1180
Os 0.0000 0.0000 0.0000
Rh 4.9508 4.9508 4.9508


Entry 3:
5
Lattice="5.8197 0.0000 0.0000 0.0000 5.8197 0.0000 0.0000 0.0000 6.1847" Properties=species:S:1:pos:R:3 comment="KTaBBr2 (PBE-GGA, optimized geometry)" sg=P4/mmm energy_ev_per_atom=-2.507 pbc="T T T"
K 0.0000 0.0000 0.0000
Ta 0.0000 0.0000 3.0924
B 2.9098 2.9098 3.0924
Br 0.0000 2.9098 0.0000
Br 2.9098 0.0000 0.0000


Entry 4:
10
Lattice="-3.7055 5.2593 2.8813 3.7055 -5.2593 2.8813 3.7055 5.2593 -2.8813" Properties=species:S:1:pos:R:3 comment="Ce2AlIr2 (PBE-GGA, optimized geometry)" sg=Ibam formation_energy_mev_per_atom=-732.3 pbc="T T T"
Ce 1.1879 1.6067 0.0000
Ce 1.1879 -1.6067 2.8813
Ce 2.5176 6.8659 0.0000
Ce 2.5176 3.6526 2.8813
Al 3.7055 0.0000 1.4406
Al 0.0000 5.2593 1.4406
Ir 5.5718 1.0872 0.0000
Ir 1.8663 4.1721 0.0000
Ir 1.8392 1.0872 2.8813
Ir -1.8663 4.1721 2.8813


Entry 5:
8
Lattice="10.7300 0.0000 0.0000 0.0000 3.6793 0.0000 -2.0469 0.0000 5.9641" Properties=species:S:1:pos:R:3 comment="IrAuBr2 (PBE-GGA, optimized geometry)" sg=Cm de_polymorph_ev_per_atom=0.132 pbc="T T T"
Ir 0.0000 0.0000 0.0000
Ir 5.3650 1.8396 0.0000
Au 2.9044 1.8396 0.7819
Au 8.2694 0.0000 0.7819
Br 0.5206 1.8396 1.5814
Br 2.9486 0.0000 4.3601
Br 5.8856 0.0000 1.5814
Br 8.3137 1.8396 4.3601


Entry 6:
14
Lattice="8.4004 0.0000 0.0000 -2.0405 8.2437 0.0000 -2.0261 -4.0680 7.1828" Properties=species:S:1:pos:R:3 comment="FePdBr5 (PBE-GGA, optimized geometry)" sg=P-1 energy_ev_per_atom=-3.488 pbc="T T T"
Fe 1.0878 -0.6977 2.8162
Fe 3.2461 4.8735 4.3666
Pd -1.0202 4.1219 0.0000
Pd 3.1800 4.1219 0.0000
Br -0.7953 0.4005 2.0975
Br -0.8963 5.1563 2.2402
Br -0.9463 1.2018 6.5188
Br 1.0227 -1.3813 5.1771
Br 2.9763 0.4606 2.2171
Br 1.3575 3.7152 4.9657
Br 3.3111 5.5571 2.0057
Br 5.2801 2.9740 0.6641
Br 5.2302 -0.9805 4.9426
Br 5.1292 3.7753 5.0854


Entry 7:
5
Lattice="3.7860 0.0000 0.0000 0.0000 3.7860 0.0000 0.0000 0.0000 4.8948" Properties=species:S:1:pos:R:3 comment="LiHgPO2 (PBE-GGA, optimized geometry)" sg=P4/mmm de_polymorph_ev_per_atom=0.779 pbc="T T T"
Li 0.0000 0.0000 0.0000
Hg 1.8930 1.8930 2.4474
P 0.0000 0.0000 2.4474
O 0.0000 1.8930 0.0000
O 1.8930 0.0000 0.0000


Entry 8:
6
Lattice="3.5428 0.0000 0.0000 0.0000 3.5428 0.0000 0.0000 0.0000 14.6824" Properties=species:S:1:pos:R:3 comment="KScBr (PBE-GGA, optimized geometry)" sg=I4mm de_polymorph_ev_per_atom=0.112 pbc="T T T"
K 0.0000 0.0000 0.0000
K 1.7714 1.7714 7.3412
Sc 0.0000 0.0000 10.4616
Sc 1.7714 1.7714 3.1204
Br 0.0000 0.0000 4.8106
Br 1.7714 1.7714 12.1518


Values for magnetization, μB/f.u., ordered as above
0.0; 3.0; 4.2; 0.0; 0.0; 5.0; 2.1; 1.0